(1)
Material: BaMnTc2Sb
Method: DFT, GGA-PBEsol
State: optimized geometry

Properties
magnetic moment	1.1	μB per cell
SG	P4/mmm

Unit cell a=4.6328 b=4.6328 c=4.8841 alpha=90.00 beta=90.00 gamma=90.00
Last column: nearest neighbours and their distance in Å.
Atoms (fractional coordinates):
Mn  0.0000  0.0000  0.0000  4 Tc 2.32, 2 Sb 2.44
Sb  0.0000  0.0000  0.5000  2 Mn 2.44
Tc  0.0000  0.5000  0.0000  2 Mn 2.32
Tc  0.5000  0.0000  0.0000  2 Mn 2.32
Ba  0.5000  0.5000  0.5000  4 Sb 3.28, 8 Tc 3.37


(2)
Material: BaScMn2
Method: DFT, GGA-PBEsol
State: optimized geometry

Properties
ΔH_f (0 K)	860	meV/atom
magnetic moment	7.1	μB per cell
SG	F-43m

Unit cell a=4.9720 b=4.9720 c=4.9720 alpha=60.00 beta=60.00 gamma=60.00
Last column: nearest neighbours and their distance in Å.
Atoms (fractional coordinates):
Sc  0.2500  0.2500  0.2500  4 Ba 3.04, 4 Mn 3.04
Mn  0.0000  0.0000  0.0000  4 Mn 3.04, 4 Sc 3.04
Mn  0.7500  0.7500  0.7500  4 Mn 3.04, 4 Ba 3.04
Ba  0.5000  0.5000  0.5000  4 Mn 3.04, 4 Sc 3.04


Values for E_tot, eV/atom, ordered as above
-6.9037 -6.2095